{"formula": "SmErTm", "functional": "PBE-GGA", "state": "optimized geometry", "cell": [[4.811, 0.000, 0.000], [0.000, 4.811, 0.000], [0.000, 0.000, 8.563]], "species": ["Sm", "Sm", "Er", "Er", "Tm", "Tm"], "frac_coords": [[0.250, 0.250, 0.195], [0.750, 0.750, 0.805], [0.250, 0.750, 0.500], [0.750, 0.250, 0.500], [0.250, 0.250, 0.795], [0.750, 0.750, 0.205]], "e_form_ev_per_fu": 0.640, "dft_energy_ev_per_atom": -4.371, "polymorph_energy_ev_per_atom": 0.2035}